A plane-wave DFT calculation with PBE+U was carried out for a relaxed GeW3F crystal.

Cell: 4.3128 4.3128 4.3128 Å, 90.00 90.00 90.00°
Closest atoms and distances in Å follow each position.
Positions (direct):
Ge  0.0000  0.0000  0.0000  12 W 3.05
W  0.0000  0.5000  0.5000  2 F 2.16
W  0.5000  0.0000  0.5000  2 F 2.16
W  0.5000  0.5000  0.0000  2 F 2.16
F  0.5000  0.5000  0.5000  6 W 2.16

Properties
The calculation puts the density of states at the Fermi level at 3.29 states/eV/f.u. The calculation puts the polymorph energy (0 for the lowest one) at 0.00 eV per formula unit. As for the volume: 16.0 Å³/atom. The calculation puts the magnetic moment at 0.00 μB/f.u.